(P)
# ZrVCo, relaxed, DFT PBE
# V: 15.46 A^3/atom
# total magnetization: 0.10 μB/atom
data_ZrVCo
_chemical_formula_sum 'Zr2 V2 Co2'
_cell_length_a 2.957
_cell_length_b 2.957
_cell_length_c 10.604
_cell_angle_alpha 90.00
_cell_angle_beta 90.00
_cell_angle_gamma 90.00
_space_group_name_H-M_alt 'I 4 m m'
_space_group_IT_number 107
_space_group_name_Hall 'I 4 -2'
loop_
_atom_site_label
_atom_site_fract_x
_atom_site_fract_y
_atom_site_fract_z
Zr1 0.000 0.000 0.000
V1 0.000 0.000 0.694
Co1 0.000 0.000 0.304

=====

(Q)
# ZrVCo, relaxed, DFT PBE
# V: 15.20 A^3/atom
# total magnetization: 0.00 μB/atom
data_ZrVCo
_chemical_formula_sum 'Zr8 V8 Co8'
_cell_length_a 8.367
_cell_length_b 5.124
_cell_length_c 8.506
_cell_angle_alpha 90.00
_cell_angle_beta 90.00
_cell_angle_gamma 90.00
_space_group_name_H-M_alt 'A m m 2'
_space_group_IT_number 38
loop_
_space_group_symop_operation_xyz
'x,y,z'
'-x,-y,z'
'-x,y,z'
'x,-y,z'
'x,y+1/2,z+1/2'
'-x,-y+1/2,z+1/2'
'-x,y+1/2,z+1/2'
'x,-y+1/2,z+1/2'
loop_
_atom_site_label
_atom_site_fract_x
_atom_site_fract_y
_atom_site_fract_z
Zr1 0.181 0.000 0.000
Zr2 0.302 0.000 0.664
V1 0.000 0.000 0.477
V2 0.500 0.000 0.158
V3 0.500 0.248 0.916
Co1 0.000 0.245 0.735
Co2 0.247 0.000 0.332

=====

Which one sits at the top of the stability order? (Q) does.

=====

(P)
# Zr2VCo, relaxed, DFT PBE
# V: 18.49 A^3/atom
# total magnetization: 0.54 μB/atom
data_Zr2VCo
_chemical_formula_sum 'Zr8 V4 Co4'
_cell_length_a 7.165
_cell_length_b 7.165
_cell_length_c 5.763
_cell_angle_alpha 90.00
_cell_angle_beta 90.00
_cell_angle_gamma 90.00
_space_group_name_H-M_alt 'I -4 2 d'
_space_group_IT_number 122
_space_group_name_Hall 'I -4 2bw'
loop_
_atom_site_label
_atom_site_fract_x
_atom_site_fract_y
_atom_site_fract_z
Zr1 0.213 0.250 0.125
V1 0.000 0.000 0.500
Co1 0.000 0.000 0.000

=====

(Q)
# Zr2VCo, relaxed, DFT PBE
# V: 18.36 A^3/atom
# total magnetization: 0.08 μB/atom
data_Zr2VCo
_chemical_formula_sum 'Zr6 V3 Co3'
_cell_length_a 2.9991
_cell_length_b 2.9991
_cell_length_c 28.2785
_cell_angle_alpha 90.00
_cell_angle_beta 90.00
_cell_angle_gamma 120.00
_space_group_name_H-M_alt 'R -3 m'
_space_group_IT_number 166
_space_group_name_Hall '-R 3 2"'
loop_
_atom_site_label
_atom_site_fract_x
_atom_site_fract_y
_atom_site_fract_z
Zr1 0.0000 0.0000 0.0849
V1 0.0000 0.0000 0.5000
Co1 0.0000 0.0000 0.0000

=====

(R)
# Zr2VCo, relaxed, DFT PBE
# V: 17.36 A^3/atom
# total magnetization: 0.65 μB/atom
data_Zr2VCo
_chemical_formula_sum 'Zr8 V4 Co4'
_cell_length_a 6.524
_cell_length_b 6.524
_cell_length_c 6.524
_cell_angle_alpha 90.00
_cell_angle_beta 90.00
_cell_angle_gamma 90.00
_space_group_name_H-M_alt 'F m -3 m'
_space_group_IT_number 225
_space_group_name_Hall '-F 4 2 3'
loop_
_atom_site_label
_atom_site_fract_x
_atom_site_fract_y
_atom_site_fract_z
Zr1 0.250 0.250 0.250
V1 0.000 0.000 0.000
Co1 0.000 0.000 0.500

=====

Which one sits at the top of the stability order? (R) does.

=====

(P)
# ZrV3Co, relaxed, DFT PBE
# V: 16.78 A^3/atom
# total magnetization: 0.41 μB/atom
data_ZrV3Co
_chemical_formula_sum 'Zr1 V3 Co1'
_cell_length_a 4.378
_cell_length_b 4.378
_cell_length_c 4.378
_cell_angle_alpha 90.00
_cell_angle_beta 90.00
_cell_angle_gamma 90.00
_space_group_name_H-M_alt 'P m -3 m'
_space_group_IT_number 221
_space_group_name_Hall '-P 4 2 3'
loop_
_atom_site_label
_atom_site_fract_x
_atom_site_fract_y
_atom_site_fract_z
Zr1 0.000 0.000 0.000
V1 0.000 0.500 0.500
Co1 0.500 0.500 0.500

=====

(Q)
# ZrV3Co, relaxed, DFT PBE
# V: 19.30 A^3/atom
# total magnetization: 0.99 μB/atom
data_ZrV3Co
_chemical_formula_sum 'Zr1 V3 Co1'
_cell_length_a 4.587
_cell_length_b 4.587
_cell_length_c 4.587
_cell_angle_alpha 90.00
_cell_angle_beta 90.00
_cell_angle_gamma 90.00
_space_group_name_H-M_alt 'P m -3 m'
_space_group_IT_number 221
_space_group_name_Hall '-P 4 2 3'
loop_
_atom_site_label
_atom_site_fract_x
_atom_site_fract_y
_atom_site_fract_z
Zr1 0.000 0.000 0.000
V1 0.000 0.000 0.500
Co1 0.500 0.500 0.500

=====

Which one sits at the top of the stability order? (P) does.

=====

(P)
# Zr2VCo3, relaxed, DFT PBE
# V: 14.42 A^3/atom
# total magnetization: 0.00 μB/atom
data_Zr2VCo3
_chemical_formula_sum 'Zr4 V2 Co6'
_cell_length_a 5.0800
_cell_length_b 5.0800
_cell_length_c 7.7424
_cell_angle_alpha 90.00
_cell_angle_beta 90.00
_cell_angle_gamma 120.00
_space_group_name_H-M_alt 'P 63/m m c'
_space_group_IT_number 194
_space_group_name_Hall '-P 6c 2c'
loop_
_atom_site_label
_atom_site_fract_x
_atom_site_fract_y
_atom_site_fract_z
Zr1 0.3333 0.6667 0.0592
V1 0.0000 0.0000 0.0000
Co1 0.1695 0.3390 0.7500

=====

(Q)
# Zr2VCo3, relaxed, DFT PBE
# V: 14.41 A^3/atom
# total magnetization: 0.00 μB/atom
data_Zr2VCo3
_chemical_formula_sum 'Zr6 V3 Co9'
_cell_length_a 5.0932
_cell_length_b 5.0932
_cell_length_c 11.5442
_cell_angle_alpha 90.00
_cell_angle_beta 90.00
_cell_angle_gamma 120.00
_space_group_name_H-M_alt 'R -3 m'
_space_group_IT_number 166
_space_group_name_Hall '-R 3 2"'
loop_
_atom_site_label
_atom_site_fract_x
_atom_site_fract_y
_atom_site_fract_z
Zr1 0.0000 0.0000 0.1268
V1 0.0000 0.0000 0.5000
Co1 0.0000 0.5000 0.0000

=====

Which one sits at the top of the stability order? (Q) does.

=====

(P)
# CoW5, relaxed, DFT PBE
# V: 15.44 A^3/atom
# total magnetization: 0.30 μB/atom
data_CoW5
_chemical_formula_sum 'Co2 W10'
_cell_length_a 3.203
_cell_length_b 13.119
_cell_length_c 4.410
_cell_angle_alpha 90.00
_cell_angle_beta 90.00
_cell_angle_gamma 90.00
_space_group_name_H-M_alt 'C m m m'
_space_group_IT_number 65
_space_group_name_Hall '-C 2 2'
loop_
_atom_site_label
_atom_site_fract_x
_atom_site_fract_y
_atom_site_fract_z
Co1 0.000 0.000 0.000
W1 0.000 0.163 0.500
W2 0.000 0.336 0.000
W3 0.000 0.500 0.500

=====

(Q)
# CoW5, relaxed, DFT PBE
# V: 16.54 A^3/atom
# total magnetization: 0.32 μB/atom
data_CoW5
_chemical_formula_sum 'Co4 W20'
_cell_length_a 7.350
_cell_length_b 7.350
_cell_length_c 7.350
_cell_angle_alpha 90.00
_cell_angle_beta 90.00
_cell_angle_gamma 90.00
_space_group_name_H-M_alt 'F -4 3 m'
_space_group_IT_number 216
_space_group_name_Hall 'F -4 2 3'
loop_
_atom_site_label
_atom_site_fract_x
_atom_site_fract_y
_atom_site_fract_z
Co1 0.000 0.000 0.000
W1 0.125 0.125 0.625
W2 0.250 0.250 0.250

=====

Which one sits at the top of the stability order? (P) does.

=====

(P)
# CoW5, relaxed, DFT PBE
# V: 15.47 A^3/atom
# total magnetization: 0.30 μB/atom
data_CoW5
_chemical_formula_sum 'Co2 W10'
_cell_length_a 9.831
_cell_length_b 3.174
_cell_length_c 6.257
_cell_angle_alpha 90.00
_cell_angle_beta 108.01
_cell_angle_gamma 90.00
_space_group_name_H-M_alt 'C 1 2/m 1'
_space_group_IT_number 12
loop_
_space_group_symop_operation_xyz
'x,y,z'
'-x,-y,-z'
'-x,y,-z'
'x,-y,z'
'x+1/2,y+1/2,z'
'-x+1/2,-y+1/2,-z'
'-x+1/2,y+1/2,-z'
'x+1/2,-y+1/2,z'
loop_
_atom_site_label
_atom_site_fract_x
_atom_site_fract_y
_atom_site_fract_z
Co1 0.000 0.000 0.000
W1 0.000 0.000 0.500
W2 0.164 0.500 0.327
W3 0.168 0.500 0.835

=====

(Q)
# CoW5, relaxed, DFT PBE
# V: 17.90 A^3/atom
# total magnetization: 0.31 μB/atom
data_CoW5
_chemical_formula_sum 'Co1 W5'
_cell_length_a 5.2196
_cell_length_b 5.2196
_cell_length_c 4.5510
_cell_angle_alpha 90.00
_cell_angle_beta 90.00
_cell_angle_gamma 120.00
_space_group_name_H-M_alt 'P 6/m m m'
_space_group_IT_number 191
_space_group_name_Hall '-P 6 2'
loop_
_atom_site_label
_atom_site_fract_x
_atom_site_fract_y
_atom_site_fract_z
Co1 0.0000 0.0000 0.0000
W1 0.0000 0.5000 0.5000
W2 0.3333 0.6667 0.0000

=====

Which one sits at the top of the stability order? (P) does.